1.
This record from the Alexandria database describes a relaxed structure of NdCdAg2. The functional is PBEsol.

Values from the calculation:
**Energy of formation**: -271.5 meV/atom
**Raw total energy**: -3.52 eV/atom

Unit cell a=6.986 b=6.986 c=6.986 alpha=90.00 beta=90.00 gamma=90.00
Fractional coordinates of all 16 atoms:
Nd  0.000  0.000  0.000
Nd  0.000  0.500  0.500
Nd  0.500  0.000  0.500
Nd  0.500  0.500  0.000
Cd  0.000  0.000  0.500
Cd  0.000  0.500  0.000
Cd  0.500  0.000  0.000
Cd  0.500  0.500  0.500
Ag  0.250  0.250  0.250
Ag  0.250  0.250  0.750
Ag  0.250  0.750  0.250
Ag  0.250  0.750  0.750
Ag  0.750  0.250  0.250
Ag  0.750  0.250  0.750
Ag  0.750  0.750  0.250
Ag  0.750  0.750  0.750

2.
This record from the Alexandria database describes a relaxed structure of LiHo2Pt. The functional is PBEsol.

Values from the calculation:
**Energy of formation**: -661.0 meV/atom
**Raw total energy**: -5.37 eV/atom

Unit cell a=6.899 b=6.899 c=6.899 alpha=90.00 beta=90.00 gamma=90.00
Fractional coordinates of all 16 atoms:
Li  0.000  0.000  0.000
Li  0.000  0.500  0.500
Li  0.500  0.000  0.500
Li  0.500  0.500  0.000
Ho  0.250  0.250  0.250
Ho  0.250  0.250  0.750
Ho  0.250  0.750  0.250
Ho  0.250  0.750  0.750
Ho  0.750  0.250  0.250
Ho  0.750  0.250  0.750
Ho  0.750  0.750  0.250
Ho  0.750  0.750  0.750
Pt  0.000  0.000  0.500
Pt  0.000  0.500  0.000
Pt  0.500  0.000  0.000
Pt  0.500  0.500  0.500

3.
This record from the Alexandria database describes a relaxed structure of SrSb. The functional is PBEsol.

Values from the calculation:
**Uncorrected formation energy**: -671 meV per atom
**Raw total energy**: -3.87 eV/atom

Unit cell a=4.151 b=4.151 c=4.668 alpha=90.00 beta=90.00 gamma=120.00
Fractional coordinates of all 2 atoms:
Sr  0.000  0.000  0.000
Sb  0.667  0.333  0.500

4.
This record from the Alexandria database describes a relaxed structure of NiAgSe2. The functional is PBEsol.

Values from the calculation:
**Uncorrected formation energy**: -117 meV per atom
**Energy above the lowest structure with this stoichiometry**: 50 meV per atom
**Raw total energy**: -4.41 eV/atom

Unit cell a=3.443 b=4.309 c=10.362 alpha=90.00 beta=90.00 gamma=90.00
Fractional coordinates of all 8 atoms:
Ni  0.000  0.000  0.000
Ni  0.500  0.500  0.500
Ag  0.000  0.000  0.500
Ag  0.500  0.500  0.000
Se  0.000  0.500  0.350
Se  0.000  0.500  0.650
Se  0.500  0.000  0.150
Se  0.500  0.000  0.850

5.
This record from the Alexandria database describes a relaxed structure of Ti3SnTe. The functional is PBEsol.

Values from the calculation:
**Uncorrected formation energy**: 561 meV per atom
**Energy above the lowest structure with this stoichiometry**: 0 meV per atom
**Raw total energy**: -5.99 eV/atom

Unit cell a=4.931 b=4.931 c=4.931 alpha=90.00 beta=90.00 gamma=90.00
Fractional coordinates of all 5 atoms:
Ti  0.000  0.000  0.500
Ti  0.000  0.500  0.000
Ti  0.500  0.000  0.000
Sn  0.500  0.500  0.500
Te  0.000  0.000  0.000

6.
This record from the Alexandria database describes a relaxed structure of ZnSe3. The functional is PBEsol.

Values from the calculation:
**Uncorrected formation energy**: 18 meV per atom
**Raw total energy**: -3.27 eV/atom

Unit cell a=3.555 b=3.555 c=7.407 alpha=90.00 beta=90.00 gamma=90.00
Fractional coordinates of all 4 atoms:
Zn  0.000  0.000  0.000
Se  0.000  0.500  0.550
Se  0.500  0.000  0.450
Se  0.500  0.500  0.000

7.
This record from the Alexandria database describes a relaxed structure of Ba2NaS. The functional is PBEsol.

Values from the calculation:
**Uncorrected formation energy**: -785 meV per atom
**Raw total energy**: -3.31 eV/atom

Unit cell a=9.062 b=9.062 c=9.150 alpha=90.00 beta=90.00 gamma=90.00
Fractional coordinates of all 16 atoms:
Ba  0.173  0.250  0.125
Ba  0.250  0.673  0.375
Ba  0.250  0.827  0.875
Ba  0.327  0.250  0.625
Ba  0.673  0.750  0.625
Ba  0.750  0.173  0.875
Ba  0.750  0.327  0.375
Ba  0.827  0.750  0.125
Na  0.000  0.000  0.500
Na  0.000  0.500  0.750
Na  0.500  0.000  0.250
Na  0.500  0.500  0.000
S  0.000  0.000  0.000
S  0.000  0.500  0.250
S  0.500  0.000  0.750
S  0.500  0.500  0.500

8.
This record from the Alexandria database describes a relaxed structure of AsIr2Se. The functional is PBEsol.

Values from the calculation:
**Uncorrected formation energy**: 164 meV per atom
**Energy above the lowest structure with this stoichiometry**: 123 meV per atom
**Raw total energy**: -6.99 eV/atom

Unit cell a=2.933 b=2.933 c=7.769 alpha=90.00 beta=90.00 gamma=90.00
Fractional coordinates of all 4 atoms:
As  0.000  0.000  0.000
Ir  0.000  0.000  0.449
Ir  0.500  0.500  0.190
Se  0.500  0.500  0.639

9.
This record from the Alexandria database describes a relaxed structure of Be2Co. The functional is PBEsol.

Values from the calculation:
**Energy of formation**: 389.0 meV/atom
**Raw total energy**: -4.86 eV/atom

Unit cell a=4.955 b=4.955 c=4.955 alpha=90.00 beta=90.00 gamma=90.00
Fractional coordinates of all 12 atoms:
Be  0.250  0.250  0.250
Be  0.250  0.250  0.750
Be  0.250  0.750  0.250
Be  0.250  0.750  0.750
Be  0.750  0.250  0.250
Be  0.750  0.250  0.750
Be  0.750  0.750  0.250
Be  0.750  0.750  0.750
Co  0.000  0.000  0.000
Co  0.000  0.500  0.500
Co  0.500  0.000  0.500
Co  0.500  0.500  0.000

10.
This record from the Alexandria database describes a relaxed structure of RbCoBOs2. The functional is PBEsol.

Values from the calculation:
**Energy of formation**: 4488.2 meV/atom
**Raw total energy**: -3.55 eV/atom

Unit cell a=4.757 b=4.757 c=4.317 alpha=90.00 beta=90.00 gamma=90.00
Fractional coordinates of all 5 atoms:
Rb  0.000  0.000  0.000
Co  0.000  0.000  0.500
B  0.500  0.500  0.500
Os  0.000  0.500  0.000
Os  0.500  0.000  0.000

11.
This record from the Alexandria database describes a relaxed structure of LaCoPt. The functional is PBEsol.

Values from the calculation:
**Energy of formation**: -554.0 meV/atom
**Raw total energy**: -7.24 eV/atom

Unit cell a=4.142 b=4.142 c=4.058 alpha=90.00 beta=90.00 gamma=120.00
Fractional coordinates of all 3 atoms:
La  0.000  0.000  0.000
Co  0.667  0.333  0.500
Pt  0.333  0.667  0.500

12.
This record from the Alexandria database describes a relaxed structure of FeCoMo. The functional is PBEsol.

Values from the calculation:
**Energy of formation**: 94.7 meV/atom
**Raw total energy**: -9.39 eV/atom

Unit cell a=2.547 b=2.547 c=11.002 alpha=90.00 beta=90.00 gamma=90.00
Fractional coordinates of all 6 atoms:
Fe  0.000  0.000  0.000
Fe  0.500  0.500  0.500
Co  0.000  0.000  0.355
Co  0.500  0.500  0.855
Mo  0.000  0.000  0.682
Mo  0.500  0.500  0.182

13.
This record from the Alexandria database describes a relaxed structure of CaLaCrSnO6. The functional is PBEsol.

Values from the calculation:
**Uncorrected formation energy**: -2519 meV per atom
**Raw total energy**: -7.87 eV/atom

Unit cell a=5.501 b=5.602 c=9.541 alpha=90.00 beta=124.88 gamma=90.00
Fractional coordinates of all 20 atoms:
Ca  0.000  0.200  0.000
Ca  0.000  0.800  0.500
La  0.525  0.291  0.501
La  0.525  0.709  0.001
Cr  0.764  0.250  0.250
Cr  0.764  0.750  0.750
Sn  0.265  0.249  0.752
Sn  0.265  0.751  0.252
O  0.006  0.451  0.202
O  0.006  0.549  0.702
O  0.094  0.221  0.495
O  0.094  0.779  0.995
O  0.424  0.274  0.006
O  0.424  0.726  0.506
O  0.525  0.045  0.297
O  0.525  0.955  0.797
O  0.616  0.460  0.801
O  0.616  0.540  0.301
O  0.920  0.035  0.704
O  0.920  0.965  0.204

14.
This record from the Alexandria database describes a relaxed structure of TaCu2Ir. The functional is PBEsol.

Values from the calculation:
**Energy of formation**: -65.2 meV/atom
**Energy above the lowest structure with this stoichiometry**: 0 meV per atom
**Raw total energy**: -7.83 eV/atom

Unit cell a=2.859 b=2.859 c=6.669 alpha=90.00 beta=90.00 gamma=90.00
Fractional coordinates of all 4 atoms:
Ta  0.000  0.000  0.000
Cu  0.000  0.000  0.480
Cu  0.500  0.500  0.276
Ir  0.500  0.500  0.729

15.
This record from the Alexandria database describes a relaxed structure of GeTe2P. The functional is PBEsol.

Values from the calculation:
**Uncorrected formation energy**: 366 meV per atom
**Raw total energy**: -4.08 eV/atom

Unit cell a=5.353 b=5.353 c=15.983 alpha=90.00 beta=90.00 gamma=90.00
Fractional coordinates of all 16 atoms:
Ge  0.000  0.000  0.000
Ge  0.000  0.500  0.250
Ge  0.500  0.000  0.750
Ge  0.500  0.500  0.500
Te  0.229  0.250  0.625
Te  0.250  0.729  0.875
Te  0.250  0.771  0.375
Te  0.271  0.250  0.125
Te  0.729  0.750  0.125
Te  0.750  0.229  0.375
Te  0.750  0.271  0.875
Te  0.771  0.750  0.625
P  0.000  0.000  0.500
P  0.000  0.500  0.750
P  0.500  0.000  0.250
P  0.500  0.500  0.000

16.
This record from the Alexandria database describes a relaxed structure of HfHgN3. The functional is PBEsol.

Values from the calculation:
**Uncorrected formation energy**: 1577 meV per atom
**Raw total energy**: -5.75 eV/atom

Unit cell a=4.007 b=4.007 c=4.007 alpha=90.00 beta=90.00 gamma=90.00
Fractional coordinates of all 5 atoms:
Hf  0.000  0.000  0.000
Hg  0.500  0.500  0.500
N  0.000  0.500  0.500
N  0.500  0.000  0.500
N  0.500  0.500  0.000

17.
This record from the Alexandria database describes a relaxed structure of GaHgBi3. The functional is PBEsol.

Values from the calculation:
**Energy of formation**: 496.4 meV/atom
**Raw total energy**: -2.86 eV/atom

Unit cell a=5.439 b=5.439 c=5.439 alpha=90.00 beta=90.00 gamma=90.00
Fractional coordinates of all 5 atoms:
Ga  0.000  0.000  0.000
Hg  0.500  0.500  0.500
Bi  0.000  0.000  0.500
Bi  0.000  0.500  0.000
Bi  0.500  0.000  0.000

18.
This record from the Alexandria database describes a relaxed structure of NbPWS2. The functional is PBEsol.

Values from the calculation:
**Uncorrected formation energy**: 1008 meV per atom
**Energy above the lowest structure with this stoichiometry**: 382 meV per atom
**Raw total energy**: -6.83 eV/atom

Unit cell a=4.631 b=4.631 c=4.876 alpha=90.00 beta=90.00 gamma=90.00
Fractional coordinates of all 5 atoms:
Nb  0.000  0.000  0.000
P  0.000  0.000  0.500
W  0.500  0.500  0.500
S  0.000  0.500  0.000
S  0.500  0.000  0.000

19.
This record from the Alexandria database describes a relaxed structure of BaY2Os. The functional is PBEsol.

Values from the calculation:
**Energy of formation**: 88.2 meV/atom
**Energy above the lowest structure with this stoichiometry**: 0 meV per atom
**Raw total energy**: -6.91 eV/atom

Unit cell a=4.178 b=4.178 c=26.885 alpha=90.00 beta=90.00 gamma=120.00
Fractional coordinates of all 12 atoms:
Ba  0.000  0.000  0.000
Ba  0.333  0.667  0.667
Ba  0.667  0.333  0.333
Y  0.000  0.000  0.215
Y  0.000  0.000  0.785
Y  0.333  0.667  0.452
Y  0.333  0.667  0.881
Y  0.667  0.333  0.119
Y  0.667  0.333  0.548
Os  0.000  0.000  0.500
Os  0.333  0.667  0.167
Os  0.667  0.333  0.833

20.
This record from the Alexandria database describes a relaxed structure of LaZn2Co. The functional is PBEsol.

Values from the calculation:
**Energy of formation**: 263.6 meV/atom
**Raw total energy**: -3.80 eV/atom

Unit cell a=4.958 b=9.880 c=2.959 alpha=90.00 beta=104.16 gamma=90.00
Fractional coordinates of all 8 atoms:
La  0.000  0.000  0.000
La  0.500  0.500  0.000
Zn  0.250  0.250  0.500
Zn  0.250  0.750  0.500
Zn  0.750  0.250  0.500
Zn  0.750  0.750  0.500
Co  0.000  0.500  0.000
Co  0.500  0.000  0.000

21.
This record from the Alexandria database describes a relaxed structure of TmTaTiO6. The functional is PBEsol.

Values from the calculation:
**Uncorrected formation energy**: -3237 meV per atom
**Raw total energy**: -9.60 eV/atom

Unit cell a=5.135 b=14.547 c=5.482 alpha=90.00 beta=90.29 gamma=90.00
Fractional coordinates of all 36 atoms:
Tm  0.246  0.000  0.232
Tm  0.246  0.500  0.732
Tm  0.754  0.000  0.768
Tm  0.754  0.500  0.268
Ta  0.323  0.168  0.679
Ta  0.323  0.332  0.179
Ta  0.677  0.668  0.821
Ta  0.677  0.832  0.321
Ti  0.181  0.663  0.189
Ti  0.181  0.837  0.689
Ti  0.819  0.163  0.311
Ti  0.819  0.337  0.811
O  0.034  0.090  0.560
O  0.034  0.410  0.060
O  0.078  0.585  0.417
O  0.078  0.915  0.917
O  0.149  0.239  0.368
O  0.149  0.261  0.868
O  0.354  0.741  0.865
O  0.354  0.759  0.365
O  0.421  0.083  0.916
O  0.421  0.417  0.416
O  0.465  0.591  0.067
O  0.465  0.909  0.567
O  0.535  0.091  0.433
O  0.535  0.409  0.933
O  0.579  0.583  0.584
O  0.579  0.917  0.084
O  0.646  0.241  0.635
O  0.646  0.259  0.135
O  0.851  0.739  0.132
O  0.851  0.761  0.632
O  0.922  0.085  0.083
O  0.922  0.415  0.583
O  0.966  0.590  0.940
O  0.966  0.910  0.440

22.
This record from the Alexandria database describes a relaxed structure of Cd4Cu5. The functional is PBEsol.

Values from the calculation:
**Energy of formation**: 73.0 meV/atom
**Raw total energy**: -2.87 eV/atom

Unit cell a=6.128 b=6.128 c=6.128 alpha=96.29 beta=96.29 gamma=141.35
Fractional coordinates of all 9 atoms:
Cd  0.000  0.315  0.315
Cd  0.000  0.685  0.685
Cd  0.315  0.000  0.315
Cd  0.685  0.000  0.685
Cu  0.000  0.000  0.000
Cu  0.345  0.345  0.690
Cu  0.345  0.655  0.000
Cu  0.655  0.345  0.000
Cu  0.655  0.655  0.310

23.
This record from the Alexandria database describes a relaxed structure of FeReIr2. The functional is PBEsol.

Values from the calculation:
**Energy of formation**: -78.4 meV/atom
**Energy above the lowest structure with this stoichiometry**: 64 meV per atom
**Raw total energy**: -10.56 eV/atom

Unit cell a=2.668 b=3.752 c=5.297 alpha=90.00 beta=90.00 gamma=90.00
Fractional coordinates of all 4 atoms:
Fe  0.000  0.000  0.000
Re  0.000  0.000  0.500
Ir  0.500  0.500  0.242
Ir  0.500  0.500  0.758

24.
This record from the Alexandria database describes a relaxed structure of Rb2AuCl. The functional is PBEsol.

Values from the calculation:
**Uncorrected formation energy**: -957 meV per atom
**Raw total energy**: -2.95 eV/atom

Unit cell a=7.959 b=7.959 c=7.959 alpha=90.00 beta=90.00 gamma=90.00
Fractional coordinates of all 16 atoms:
Rb  0.250  0.250  0.250
Rb  0.250  0.250  0.750
Rb  0.250  0.750  0.250
Rb  0.250  0.750  0.750
Rb  0.750  0.250  0.250
Rb  0.750  0.250  0.750
Rb  0.750  0.750  0.250
Rb  0.750  0.750  0.750
Au  0.000  0.000  0.000
Au  0.000  0.500  0.500
Au  0.500  0.000  0.500
Au  0.500  0.500  0.000
Cl  0.000  0.000  0.500
Cl  0.000  0.500  0.000
Cl  0.500  0.000  0.000
Cl  0.500  0.500  0.500

25.
This record from the Alexandria database describes a relaxed structure of MnCo21B6Mo. The functional is PBEsol.

Values from the calculation:
**Energy of formation**: -230.4 meV/atom
**Raw total energy**: -8.03 eV/atom

Unit cell a=7.268 b=7.268 c=7.268 alpha=60.00 beta=60.00 gamma=60.00
Fractional coordinates of all 29 atoms:
Mn  0.000  0.000  0.000
Co  0.088  0.411  0.750
Co  0.088  0.750  0.411
Co  0.088  0.750  0.750
Co  0.129  0.129  0.129
Co  0.129  0.129  0.613
Co  0.129  0.613  0.129
Co  0.367  0.367  0.367
Co  0.367  0.367  0.899
Co  0.367  0.899  0.367
Co  0.411  0.088  0.750
Co  0.411  0.750  0.088
Co  0.411  0.750  0.750
Co  0.613  0.129  0.129
Co  0.750  0.088  0.411
Co  0.750  0.088  0.750
Co  0.750  0.411  0.088
Co  0.750  0.411  0.750
Co  0.750  0.750  0.088
Co  0.750  0.750  0.411
Co  0.750  0.750  0.750
Co  0.899  0.367  0.367
B  0.025  0.025  0.475
B  0.025  0.475  0.025
B  0.025  0.475  0.475
B  0.475  0.025  0.025
B  0.475  0.025  0.475
B  0.475  0.475  0.025
Mo  0.500  0.500  0.500